# GGA-PBEsol Li2V2SnO6, optimized geometry
# Total energy = -80.64 eV/f.u.
# Size of the total moment = 16.000 μB/cell
# E_form (uncorrected) = -21.679 eV per formula unit
# Crystal system = orthorhombic
data_Li2V2SnO6
_chemical_formula_sum 'Li8 V8 Sn4 O24'
_space_group_name_H-M_alt 'C m c e'
_space_group_IT_number 64
_space_group_name_Hall '-C 2ac 2'
_cell_length_a 8.909
_cell_length_b 5.269
_cell_length_c 10.071
_cell_angle_alpha 90.00
_cell_angle_beta 90.00
_cell_angle_gamma 90.00
loop_
_atom_site_label
_atom_site_fract_x
_atom_site_fract_y
_atom_site_fract_z
_atom_site_occupancy
Li1 0.250 0.101 0.250 1
V1 0.156 0.000 0.000 1
Sn1 0.000 0.000 0.500 1
O1 0.000 0.166 0.893 1
O2 0.176 0.167 0.607 1

***

# GGA-PBEsol Li2V3SnO8, optimized geometry
# Total energy = -109.46 eV/f.u.
# Size of the total moment = 2.158 μB/cell
# E_form (uncorrected) = -30.371 eV per formula unit
# Crystal system = monoclinic
data_Li2V3SnO8
_chemical_formula_sum 'Li4 V6 Sn2 O16'
_space_group_name_H-M_alt 'P 1 c 1'
_space_group_IT_number 7
_cell_length_a 5.970
_cell_length_b 5.716
_cell_length_c 9.911
_cell_angle_alpha 90.00
_cell_angle_beta 123.66
_cell_angle_gamma 90.00
loop_
_space_group_symop_operation_xyz
'x,y,z'
'x,-y,z+1/2'
loop_
_atom_site_label
_atom_site_fract_x
_atom_site_fract_y
_atom_site_fract_z
_atom_site_occupancy
Li1 0.000 0.246 0.000 1
Li2 0.159 0.253 0.386 1
V1 0.645 0.260 0.359 1
V2 0.646 0.033 0.140 1
V3 0.649 0.461 0.149 1
Sn1 0.254 0.247 0.750 1
O1 0.381 0.236 0.128 1
O2 0.423 0.021 0.399 1
O3 0.426 0.256 0.629 1
O4 0.428 0.483 0.398 1
O5 0.853 0.251 0.618 1
O6 0.858 0.016 0.365 1
O7 0.870 0.249 0.133 1
O8 0.880 0.486 0.371 1

***

# GGA-PBEsol Li2V3SnO8, optimized geometry
# Total energy = -109.20 eV/f.u.
# Size of the total moment = 20.111 μB/cell
# E_form (uncorrected) = -30.109 eV per formula unit
# Crystal system = cubic
data_Li2V3SnO8
_chemical_formula_sum 'Li8 V12 Sn4 O32'
_space_group_name_H-M_alt 'P 43 3 2'
_space_group_IT_number 212
_space_group_name_Hall 'P 4acd 2ab 3'
_cell_length_a 8.360
_cell_length_b 8.360
_cell_length_c 8.360
_cell_angle_alpha 90.00
_cell_angle_beta 90.00
_cell_angle_gamma 90.00
loop_
_atom_site_label
_atom_site_fract_x
_atom_site_fract_y
_atom_site_fract_z
_atom_site_occupancy
Li1 0.008 0.008 0.008 1
V1 0.108 0.142 0.625 1
Sn1 0.125 0.875 0.375 1
O1 0.099 0.123 0.388 1
O2 0.124 0.376 0.624 1

***

# GGA-PBEsol Li2ZnSn3O8, optimized geometry
# Total energy = -85.04 eV/f.u.
# Size of the total moment = 0.001 μB/cell
# E_form (uncorrected) = -24.752 eV per formula unit
# Crystal system = orthorhombic
data_Li2ZnSn3O8
_chemical_formula_sum 'Li24 Zn12 Sn36 O96'
_space_group_name_H-M_alt 'C m c 21'
_space_group_IT_number 36
_cell_length_a 18.234
_cell_length_b 10.517
_cell_length_c 9.936
_cell_angle_alpha 90.00
_cell_angle_beta 90.00
_cell_angle_gamma 90.00
loop_
_space_group_symop_operation_xyz
'x,y,z'
'-x,-y,z+1/2'
'-x,y,z'
'x,-y,z+1/2'
'x+1/2,y+1/2,z'
'-x+1/2,-y+1/2,z+1/2'
'-x+1/2,y+1/2,z'
'x+1/2,-y+1/2,z+1/2'
loop_
_atom_site_label
_atom_site_fract_x
_atom_site_fract_y
_atom_site_fract_z
_atom_site_occupancy
Li1 0.000 0.018 0.000 1
Li2 0.000 0.166 0.223 1
Li3 0.179 0.488 0.997 1
Li4 0.249 0.417 0.223 1
Zn1 0.000 0.333 0.907 1
Zn2 0.167 0.167 0.412 1
Sn1 0.000 0.329 0.501 1
Sn2 0.087 0.071 0.721 1
Sn3 0.087 0.405 0.220 1
Sn4 0.169 0.165 0.000 1
Sn5 0.173 0.333 0.720 1
O1 0.000 0.000 0.319 1
O2 0.000 0.157 0.605 1
O3 0.000 0.336 0.109 1
O4 0.000 0.483 0.349 1
O5 0.077 0.261 0.360 1
O6 0.083 0.084 0.100 1
O7 0.085 0.420 0.606 1
O8 0.090 0.241 0.846 1
O9 0.165 0.013 0.858 1
O10 0.165 0.167 0.613 1
O11 0.165 0.334 0.099 1
O12 0.166 0.500 0.318 1
O13 0.241 0.248 0.858 1
O14 0.248 0.418 0.601 1

***

# GGA-PBEsol LiZr2SnO, optimized geometry
# Total energy = -26.75 eV/f.u.
# Size of the total moment = 0.000 μB/cell
# E_form (uncorrected) = 2.902 eV per formula unit
# Crystal system = tetragonal
data_LiZr2SnO
_chemical_formula_sum 'Li1 Zr2 Sn1 O1'
_space_group_name_H-M_alt 'P 4/m m m'
_space_group_IT_number 123
_space_group_name_Hall '-P 4 2'
_cell_length_a 4.723
_cell_length_b 4.723
_cell_length_c 4.189
_cell_angle_alpha 90.00
_cell_angle_beta 90.00
_cell_angle_gamma 90.00
loop_
_atom_site_label
_atom_site_fract_x
_atom_site_fract_y
_atom_site_fract_z
_atom_site_occupancy
Li1 0.000 0.000 0.000 1
Zr1 0.000 0.500 0.000 1
Sn1 0.000 0.000 0.500 1
O1 0.500 0.500 0.500 1

***

# GGA-PBEsol SrLiO3, optimized geometry
# Total energy = -22.30 eV/f.u.
# Size of the total moment = 3.000 μB/cell
# E_form (uncorrected) = -2.745 eV per formula unit
# Crystal system = cubic
data_SrLiO3
_chemical_formula_sum 'Sr1 Li1 O3'
_space_group_name_H-M_alt 'P m -3 m'
_space_group_IT_number 221
_space_group_name_Hall '-P 4 2 3'
_cell_length_a 4.624
_cell_length_b 4.624
_cell_length_c 4.624
_cell_angle_alpha 90.00
_cell_angle_beta 90.00
_cell_angle_gamma 90.00
loop_
_atom_site_label
_atom_site_fract_x
_atom_site_fract_y
_atom_site_fract_z
_atom_site_occupancy
Sr1 0.000 0.000 0.000 1
Li1 0.500 0.500 0.500 1
O1 0.000 0.000 0.500 1